An optimized crystal structure of PrInI2. Source: Alexandria, functional GGA-PBE.

Lattice parameters (Å, degrees): 4.2619 4.2619 11.2411 79.07 79.07 60.00
With the nearest neighbours (Å) after each atom.
Element x y z (fractional)
I 0.0939 0.0939 0.7184  1 Pr 3.09, 3 In 3.43
In 0.5000 0.5000 0.5000  6 I 3.43
Pr 0.0000 0.0000 0.0000  2 I 3.09
I 0.9061 0.9061 0.2816  1 Pr 3.09, 3 In 3.43

spin magnetization	0.0	Bohr magnetons per cell
DOS(E_F)	0.58	states/eV/atom
E_tot	-3.080	eV/atom
space group	R-3m, No. 166
energy relative to the elements, uncorrected	-0.43	eV/atom